Crystalline Nb3InNi at its relaxed geometry. Source: Alexandria, functional PBE.

Formation energy from the elements in meV per atom: 594
Distance to the lowest polymorph of the same formula in eV per atom: 0.000

Lattice parameters (Å, degrees): 4.6595 4.6595 4.6595 90.00 90.00 90.00
With the nearest neighbours (Å) after each atom.
Space group Pm-3m (No. 221)
Inequivalent atoms, fractional coordinates:
Nb1 0.0000 0.0000 0.5000 (multiplicity 3)  2 Ni 2.33
In1 0.5000 0.5000 0.5000 (multiplicity 1)  12 Nb 3.29
Ni1 0.0000 0.0000 0.0000 (multiplicity 1)  6 Nb 2.33

=====

Crystalline Nb2InNi at its relaxed geometry. Source: Alexandria, functional PBE.

Formation energy from the elements in meV per atom: 313

Lattice parameters (Å, degrees): 7.3521 7.3521 5.4305 90.00 90.00 90.00
With the nearest neighbours (Å) after each atom.
Space group I-42d (No. 122)
Inequivalent atoms, fractional coordinates:
Nb1 0.2092 0.2500 0.1250 (multiplicity 8)  2 Ni 2.49, 2 Nb 2.78
In1 0.0000 0.0000 0.5000 (multiplicity 4)  2 Ni 2.72, 4 Nb 2.90
Ni1 0.0000 0.0000 0.0000 (multiplicity 4)  4 Nb 2.49, 2 In 2.72

=====

Crystalline NbIn3Ni at its relaxed geometry. Source: Alexandria, functional PBE.

Formation energy from the elements in meV per atom: 1155
Distance to the lowest polymorph of the same formula in eV per atom: 0.582

Lattice parameters (Å, degrees): 5.3711 5.3711 5.3711 90.00 90.00 90.00
With the nearest neighbours (Å) after each atom.
Space group Pm-3m (No. 221)
Inequivalent atoms, fractional coordinates:
Nb1 0.0000 0.0000 0.0000 (multiplicity 1)  6 In 2.69
In1 0.0000 0.0000 0.5000 (multiplicity 3)  2 Nb 2.69
Ni1 0.5000 0.5000 0.5000 (multiplicity 1)  12 In 3.80

=====

Crystalline Nb2In2Ni at its relaxed geometry. Source: Alexandria, functional PBE.

Formation energy from the elements in meV per atom: 512
Distance to the lowest polymorph of the same formula in eV per atom: 0.203

Lattice parameters (Å, degrees): 3.6732 3.6732 15.2639 90.00 90.00 90.00
With the nearest neighbours (Å) after each atom.
Space group I4/mmm (No. 139)
Inequivalent atoms, fractional coordinates:
Nb1 0.0000 0.5000 0.2500 (multiplicity 4)  4 Nb 2.60
In1 0.0000 0.0000 0.0912 (multiplicity 4)  1 In 2.78, 4 Ni 2.95, 4 Nb 3.04
Ni1 0.0000 0.0000 0.5000 (multiplicity 2)  8 In 2.95

=====

Crystalline NbInNi at its relaxed geometry. Source: Alexandria, functional PBE.

Formation energy from the elements in meV per atom: -73

Lattice parameters (Å, degrees): 5.0777 8.7884 18.0288 90.00 90.00 90.00
With the nearest neighbours (Å) after each atom.
Space group Fddd (No. 70, origin choice 2)
Inequivalent atoms, fractional coordinates:
Nb1 0.1250 0.2931 0.1250 (multiplicity 16)  4 Ni 2.68-2.70, 3 Nb 2.92-2.95
In1 0.1250 0.1250 0.5460 (multiplicity 16)  4 Ni 2.67, 1 In 2.85
Ni1 0.1250 0.1250 0.0009 (multiplicity 16)  2 Ni 2.54, 4 In 2.67, 4 Nb 2.68-2.70

=====

Crystalline NbInNi3 at its relaxed geometry. Source: Alexandria, functional PBE.

Formation energy from the elements in meV per atom: 1059
Distance to the lowest polymorph of the same formula in eV per atom: 0.000

Lattice parameters (Å, degrees): 4.5861 4.5861 4.5861 90.00 90.00 90.00
With the nearest neighbours (Å) after each atom.
Space group Pm-3m (No. 221)
Inequivalent atoms, fractional coordinates:
Nb1 0.0000 0.0000 0.0000 (multiplicity 1)  6 Ni 2.29
In1 0.5000 0.5000 0.5000 (multiplicity 1)  12 Ni 3.24
Ni1 0.0000 0.0000 0.5000 (multiplicity 3)  2 Nb 2.29

=====

Crystalline NbInNiSe3 at its relaxed geometry. Source: Alexandria, functional PBE.

Formation energy without anion corrections in meV/atom: -576

Lattice parameters (Å, degrees): 8.2534 3.6217 10.0075 90.00 111.69 90.00
With the nearest neighbours (Å) after each atom.
Space group P2_1/m (No. 11)
Inequivalent atoms, fractional coordinates:
Nb1 0.0329 0.2500 0.3147 (multiplicity 2)  6 Se 2.54-2.77, 2 Ni 2.74
In1 0.4675 0.7500 0.7900 (multiplicity 2)  5 Se 3.05-3.40
Ni1 0.0209 0.7500 0.1060 (multiplicity 2)  4 Se 2.38-2.45
Se1 0.1673 0.2500 0.6126 (multiplicity 2)  3 Nb 2.73-2.77
Se2 0.1814 0.7500 0.9438 (multiplicity 2)  3 Ni 2.39-2.45, 1 Nb 2.54
Se3 0.2633 0.7500 0.3284 (multiplicity 2)  1 Ni 2.38, 2 Nb 2.59

=====

Crystalline NbIn2NiW at its relaxed geometry. Source: Alexandria, functional PBE.

Formation energy from the elements in meV per atom: 1684

Lattice parameters (Å, degrees): 5.3520 5.3520 4.7278 90.00 90.00 90.00
With the nearest neighbours (Å) after each atom.
Space group P4/mmm (No. 123)
Inequivalent atoms, fractional coordinates:
Nb1 0.0000 0.0000 0.0000 (multiplicity 1)  2 W 2.36
In1 0.0000 0.5000 0.0000 (multiplicity 2)  2 Nb 2.68
Ni1 0.5000 0.5000 0.5000 (multiplicity 1)  8 In 3.57, 4 W 3.78
W1 0.0000 0.0000 0.5000 (multiplicity 1)  2 Nb 2.36

=====

Crystalline NbZnInNi at its relaxed geometry. Source: Alexandria, functional PBE.

Formation energy from the elements in meV per atom: 54

Lattice parameters (Å, degrees): 6.3518 6.3518 6.3518 90.00 90.00 90.00
With the nearest neighbours (Å) after each atom.
Space group F-43m (No. 216)
Inequivalent atoms, fractional coordinates:
Nb1 0.0000 0.0000 0.0000 (multiplicity 4)  4 Zn 2.75, 4 Ni 2.75
Zn1 0.2500 0.2500 0.7500 (multiplicity 4)  4 In 2.75, 4 Nb 2.75
In1 0.0000 0.0000 0.5000 (multiplicity 4)  4 Ni 2.75, 4 Zn 2.75
Ni1 0.2500 0.2500 0.2500 (multiplicity 4)  4 In 2.75, 4 Nb 2.75

=====

Crystalline NbIn3O at its relaxed geometry. Source: Alexandria, functional PBE.

Formation energy without anion corrections in meV/atom: 1073
Distance to the lowest polymorph of the same formula in eV per atom: 1.060

Lattice parameters (Å, degrees): 5.4812 5.4812 5.4812 90.00 90.00 90.00
With the nearest neighbours (Å) after each atom.
Space group Pm-3m (No. 221)
Inequivalent atoms, fractional coordinates:
Nb1 0.0000 0.0000 0.0000 (multiplicity 1)  6 In 2.74
In1 0.0000 0.0000 0.5000 (multiplicity 3)  2 Nb 2.74
O1 0.5000 0.5000 0.5000 (multiplicity 1)  12 In 3.88

=====

Crystalline NbIn2O6 at its relaxed geometry. Source: Alexandria, functional PBE.

Formation energy without anion corrections in meV/atom: -1718

Lattice parameters (Å, degrees): 4.9421 4.9421 9.8221 90.00 90.00 90.00
With the nearest neighbours (Å) after each atom.
Space group P4_2/mnm (No. 136)
Inequivalent atoms, fractional coordinates:
Nb1 0.0000 0.0000 0.0000 (multiplicity 2)  6 O 2.01-2.03
In1 0.0000 0.0000 0.3332 (multiplicity 4)  6 O 2.17-2.21
O1 0.1907 0.1907 0.1534 (multiplicity 8)  1 Nb 2.01, 2 In 2.17-2.21
O2 0.2093 0.2093 0.5000 (multiplicity 4)  1 Nb 2.03, 2 In 2.20

=====

Crystalline Nb2InO at its relaxed geometry. Source: Alexandria, functional PBE.

Formation energy without anion corrections in meV/atom: -238
Distance to the lowest polymorph of the same formula in eV per atom: 0.390

Lattice parameters (Å, degrees): 5.2997 5.2997 11.7828 90.00 90.00 90.00
With the nearest neighbours (Å) after each atom.
Space group I-42d (No. 122)
Inequivalent atoms, fractional coordinates:
Nb1 0.0952 0.2500 0.1250 (multiplicity 8)  2 O 2.04
In1 0.0000 0.0000 0.5000 (multiplicity 4)  4 Nb 2.92
O1 0.0000 0.0000 0.0000 (multiplicity 4)  4 Nb 2.04

=====

Crystalline Nb2InO at its relaxed geometry. Source: Alexandria, functional PBE.

Formation energy without anion corrections in meV/atom: -627
Distance to the lowest polymorph of the same formula in eV per atom: 0.000

Lattice parameters (Å, degrees): 3.4360 3.4360 19.8298 90.00 90.00 120.00
With the nearest neighbours (Å) after each atom.
Space group R-3m (No. 166, hexagonal axes)
Inequivalent atoms, fractional coordinates:
Nb1 0.0000 0.0000 0.2152 (multiplicity 6)  3 O 2.20
In1 0.0000 0.0000 0.0000 (multiplicity 3)  6 Nb 3.07, 6 In 3.44
O1 0.0000 0.0000 0.5000 (multiplicity 3)  6 Nb 2.20

=====

Crystalline NbIn2O at its relaxed geometry. Source: Alexandria, functional PBE.

Formation energy without anion corrections in meV/atom: -35

Lattice parameters (Å, degrees): 7.0368 7.0368 5.9013 90.00 90.00 90.00
With the nearest neighbours (Å) after each atom.
Space group I-42d (No. 122)
Inequivalent atoms, fractional coordinates:
Nb1 0.0000 0.0000 0.0000 (multiplicity 4)  8 In 2.93-3.11, 2 O 2.95
In1 0.1832 0.2500 0.6250 (multiplicity 8)  2 O 2.30
O1 0.0000 0.0000 0.5000 (multiplicity 4)  4 In 2.30

=====

Crystalline Nb2InO at its relaxed geometry. Source: Alexandria, functional PBE.

Formation energy without anion corrections in meV/atom: 313
Distance to the lowest polymorph of the same formula in eV per atom: 0.941

Lattice parameters (Å, degrees): 6.4220 6.4220 6.4220 90.00 90.00 90.00
With the nearest neighbours (Å) after each atom.
Space group Fm-3m (No. 225)
Inequivalent atoms, fractional coordinates:
Nb1 0.2500 0.2500 0.2500 (multiplicity 8)  4 In 2.78, 4 O 2.78
In1 0.0000 0.0000 0.0000 (multiplicity 4)  8 Nb 2.78
O1 0.0000 0.0000 0.5000 (multiplicity 4)  8 Nb 2.78

=====

Crystalline NbIn3O at its relaxed geometry. Source: Alexandria, functional PBE.

Formation energy without anion corrections in meV/atom: 13
Distance to the lowest polymorph of the same formula in eV per atom: 0.000

Lattice parameters (Å, degrees): 4.5934 4.5934 4.5934 90.00 90.00 90.00
With the nearest neighbours (Å) after each atom.
Space group Pm-3m (No. 221)
Inequivalent atoms, fractional coordinates:
Nb1 0.0000 0.0000 0.0000 (multiplicity 1)  12 In 3.25
In1 0.0000 0.5000 0.5000 (multiplicity 3)  2 O 2.30
O1 0.5000 0.5000 0.5000 (multiplicity 1)  6 In 2.30

=====

Crystalline PaNbIn2O8 at its relaxed geometry. Source: Alexandria, functional PBE.

Formation energy without anion corrections in meV/atom: -2439

Lattice parameters (Å, degrees): 6.9406 7.0844 6.7006 90.00 90.00 90.00
With the nearest neighbours (Å) after each atom.
Space group Cmmm (No. 65)
Inequivalent atoms, fractional coordinates:
Pa1 0.0000 0.0000 0.0000 (multiplicity 2)  6 O 2.12-2.22
Nb1 0.0000 0.0000 0.5000 (multiplicity 2)  6 O 2.01-2.03
In1 0.0000 0.5000 0.2594 (multiplicity 4)  6 O 2.17-2.23
O1 0.0000 0.1849 0.2677 (multiplicity 8)  1 Nb 2.03, 1 Pa 2.22, 1 In 2.23
O2 0.1946 0.5000 0.0000 (multiplicity 4)  1 Pa 2.12, 2 In 2.20
O3 0.2101 0.5000 0.5000 (multiplicity 4)  1 Nb 2.01, 2 In 2.17

=====

Crystalline PmNbInO6 at its relaxed geometry. Source: Alexandria, functional PBE.

Formation energy without anion corrections in meV/atom: -2247

Lattice parameters (Å, degrees): 5.5117 5.5117 9.9782 90.00 90.00 120.00
With the nearest neighbours (Å) after each atom.
Space group P-31c (No. 163)
Inequivalent atoms, fractional coordinates:
Pm1 0.0000 0.0000 0.0000 (multiplicity 2)  6 O 2.39
Nb1 0.3333 0.6667 0.2500 (multiplicity 2)  6 O 2.02
In1 0.3333 0.6667 0.7500 (multiplicity 2)  6 O 2.19
O1 0.0236 0.3659 0.1376 (multiplicity 12)  1 Nb 2.02, 1 In 2.19

=====

Crystalline NbInSbO6 at its relaxed geometry. Source: Alexandria, functional PBE.

Formation energy without anion corrections in meV/atom: -1744

Lattice parameters (Å, degrees): 5.4136 5.4136 9.2391 90.00 90.00 120.00
With the nearest neighbours (Å) after each atom.
Space group P-31c (No. 163)
Inequivalent atoms, fractional coordinates:
Nb1 0.3333 0.6667 0.2500 (multiplicity 2)  6 O 2.04
In1 0.0000 0.0000 0.0000 (multiplicity 2)  6 O 2.25
Sb1 0.3333 0.6667 0.7500 (multiplicity 2)  6 O 2.10
O1 0.0085 0.3531 0.1329 (multiplicity 12)  1 Nb 2.04, 1 Sb 2.10, 1 In 2.25

=====

Crystalline SrNb2InO at its relaxed geometry. Source: Alexandria, functional PBE.

Formation energy without anion corrections in meV/atom: 1545

Lattice parameters (Å, degrees): 5.2743 5.2743 4.3084 90.00 90.00 90.00
With the nearest neighbours (Å) after each atom.
Space group P4/mmm (No. 123)
Inequivalent atoms, fractional coordinates:
Sr1 0.0000 0.0000 0.0000 (multiplicity 1)  2 O 2.15
Nb1 0.0000 0.5000 0.0000 (multiplicity 2)  2 Sr 2.64
In1 0.5000 0.5000 0.5000 (multiplicity 1)  8 Nb 3.41, 4 O 3.73
O1 0.0000 0.0000 0.5000 (multiplicity 1)  2 Sr 2.15

=====

Crystalline Sr2NbInO6 at its relaxed geometry. Source: Alexandria, functional PBE.

Formation energy without anion corrections in meV/atom: -2570

Lattice parameters (Å, degrees): 5.7923 5.8545 10.0443 90.00 125.13 90.00
With the nearest neighbours (Å) after each atom.
Space group P2_1/c (No. 14)
Inequivalent atoms, fractional coordinates:
Sr1 0.2429 0.0347 0.2506 (multiplicity 4)  6 O 2.53-2.79
Nb1 0.0000 0.0000 0.5000 (multiplicity 2)  6 O 2.02-2.03
In1 0.5000 0.0000 0.0000 (multiplicity 2)  6 O 2.18-2.19
O1 0.1613 0.2241 0.9586 (multiplicity 4)  1 Nb 2.03, 1 In 2.19
O2 0.2380 0.7044 0.9620 (multiplicity 4)  1 Nb 2.02, 1 In 2.19
O3 0.3149 0.0199 0.7397 (multiplicity 4)  1 Nb 2.02, 1 In 2.18